1.
# KHfIn3

A geometry-optimized KHfIn3 structure (PBE, Alexandria via LeMat-Bulk).

abc: 5.5354 5.5354 5.5354
angles: 90.00 90.00 90.00
Element x y z (fractional)
Hf 0.5000 0.5000 0.5000
In 0.5000 0.0000 0.0000
In 0.0000 0.5000 0.0000
In 0.0000 0.0000 0.5000
K 0.0000 0.0000 0.0000

* crystal system: cubic

***

2.
# KHfIn3

A geometry-optimized KHfIn3 structure (PBE, Alexandria via LeMat-Bulk).

abc: 5.6770 5.6770 5.6770
angles: 90.00 90.00 90.00
Site moments in Bohr magnetons follow the coordinates.
Element x y z (fractional)
Hf 0.0000 0.0000 0.0000  0.22
In 0.5000 0.0000 0.0000  0.03
In 0.0000 0.5000 0.0000  0.05
In 0.0000 0.0000 0.5000  0.02
K 0.5000 0.5000 0.5000  0.00

* crystal system: cubic

***

3.
# KHfIn2Mo

A geometry-optimized KHfIn2Mo structure (PBE, Alexandria via LeMat-Bulk).

abc: 5.5601 5.9508 5.5601
angles: 90.00 90.00 90.00
Site moments in Bohr magnetons follow the coordinates.
Element x y z (fractional)
Hf 0.0000 0.0000 0.0000  -0.61
In 0.0000 0.0000 0.5000  -0.08
In 0.5000 0.0000 0.0000  -0.06
K 0.0000 0.5000 0.0000  -0.03
Mo 0.5000 0.5000 0.5000  3.87

* crystal system: tetragonal

***

Energy per entry: -12.3 -17.9 -19.1 eV per cell
Formation enthalpy at 0 K per entry: 7.007 1.364 8.292 eV/f.u.
M_tot per entry: 0.000 0.468 3.622 μB/f.u.